VASP calculation (PBE) on crystalline TbPmAs2O8 at its relaxed geometry.

Structure (POSCAR):
```
TbPmAs2O8
1.0
-2.552 2.552 5.760
2.552 -2.552 5.760
2.552 2.552 -5.760
Tb Pm As O
1 1 2 8
direct
0.000 0.000 0.000
0.750 0.250 0.500
0.250 0.750 0.500
0.500 0.500 0.000
0.030 0.921 0.610
0.079 0.689 0.109
0.173 0.275 0.602
0.311 0.420 0.390
0.429 0.827 0.102
0.580 0.970 0.891
0.673 0.571 0.398
0.725 0.327 0.898
```

Values from the calculation:
ΔE_f (raw): -2.341 eV/atom
ρ: 6.44 Mg/m³

VASP calculation (PBE) on crystalline Ba2LiNb at its relaxed geometry.

Structure (POSCAR):
```
Ba2LiNb
1.0
9.131 0.000 0.000
0.000 9.131 0.000
0.000 0.000 7.159
Ba Li Nb
8 4 4
direct
0.243 0.750 0.125
0.250 0.243 0.875
0.250 0.257 0.375
0.257 0.750 0.625
0.743 0.250 0.625
0.750 0.743 0.375
0.750 0.757 0.875
0.757 0.250 0.125
0.000 0.000 0.000
0.000 0.500 0.250
0.500 0.000 0.750
0.500 0.500 0.500
0.000 0.000 0.500
0.000 0.500 0.750
0.500 0.000 0.250
0.500 0.500 0.000
```

Values from the calculation:
formation energy: 0.95 eV/atom
ρ: 4.17 Mg/m³

VASP calculation (PBE) on crystalline ZrRuS at its relaxed geometry.

Structure (POSCAR):
```
ZrRuS
1.0
9.788 0.000 0.000
0.000 4.142 0.000
-1.106 0.000 4.878
Zr Ru S
4 4 4
direct
0.112 0.000 0.279
0.388 0.500 0.721
0.612 0.500 0.279
0.888 0.000 0.721
0.097 0.500 0.825
0.403 0.000 0.175
0.597 0.000 0.825
0.903 0.500 0.175
0.200 0.000 0.785
0.300 0.500 0.215
0.700 0.500 0.785
0.800 0.000 0.215
```

Values from the calculation:
ΔE_f (raw): -0.669 eV/atom
ρ: 7.53 Mg/m³

VASP calculation (PBE) on crystalline CdFe2Cl at its relaxed geometry.

Structure (POSCAR):
```
CdFe2Cl
1.0
11.841 0.000 0.000
0.000 2.954 0.000
-0.006 0.000 4.766
Cd Fe Cl
2 4 2
direct
0.000 0.000 0.000
0.500 0.500 0.000
0.047 0.500 0.500
0.391 0.500 0.500
0.547 0.000 0.500
0.891 0.000 0.500
0.227 0.000 0.501
0.727 0.500 0.501
```

Values from the calculation:
ΔE_f (raw): 0.179 eV/atom
ρ: 5.17 Mg/m³

VASP calculation (PBE) on crystalline InNiSb4 at its relaxed geometry.

Structure (POSCAR):
```
InNiSb4
1.0
0.000 4.388 4.388
4.388 0.000 4.388
4.388 4.388 0.000
In Ni Sb
1 1 4
direct
0.000 0.000 0.000
0.750 0.750 0.750
0.375 0.375 0.375
0.375 0.375 0.875
0.375 0.875 0.375
0.875 0.375 0.375
```

Values from the calculation:
ΔE_f (raw): 0.606 eV/atom
ρ: 6.49 Mg/m³

VASP calculation (PBE) on crystalline LiRe2Pt at its relaxed geometry.

Structure (POSCAR):
```
LiRe2Pt
1.0
2.871 0.000 0.000
0.000 4.573 0.000
0.000 0.000 9.170
Li Re Pt
2 4 2
direct
0.000 0.000 0.000
0.500 0.500 0.000
0.000 0.000 0.501
0.000 0.500 0.739
0.500 0.000 0.739
0.500 0.500 0.501
0.000 0.500 0.235
0.500 0.000 0.235
```

Values from the calculation:
formation energy: 0.07 eV/atom
ρ: 15.85 Mg/m³

VASP calculation (PBE) on crystalline AsI at its relaxed geometry.

Structure (POSCAR):
```
AsI
1.0
6.168 0.000 0.000
0.000 6.168 0.000
0.000 0.000 6.168
As I
4 4
direct
0.000 0.000 0.000
0.000 0.500 0.500
0.500 0.000 0.500
0.500 0.500 0.000
0.000 0.000 0.500
0.000 0.500 0.000
0.500 0.000 0.000
0.500 0.500 0.500
```

Values from the calculation:
ΔE_f (raw): 0.539 eV/atom
ρ: 5.71 Mg/m³

VASP calculation (PBE) on crystalline Dy2CdPd at its relaxed geometry.

Structure (POSCAR):
```
Dy2CdPd
1.0
3.344 0.000 0.000
-1.672 2.896 0.000
0.000 0.000 31.537
Dy Cd Pd
6 3 3
direct
0.000 0.000 0.083
0.000 0.000 0.917
0.333 0.667 0.583
0.333 0.667 0.750
0.667 0.333 0.250
0.667 0.333 0.417
0.000 0.000 0.500
0.333 0.667 0.167
0.667 0.333 0.833
0.000 0.000 0.000
0.333 0.667 0.667
0.667 0.333 0.333
```

Values from the calculation:
formation energy: -0.01 eV/atom
ρ: 8.87 Mg/m³

VASP calculation (PBE) on crystalline Tl2RhS4 at its relaxed geometry.

Structure (POSCAR):
```
Tl2RhS4
1.0
4.597 0.000 0.000
0.000 4.597 0.000
0.000 0.000 15.176
Tl Rh S
4 2 8
direct
0.000 0.000 0.148
0.000 0.000 0.852
0.500 0.500 0.352
0.500 0.500 0.648
0.000 0.000 0.500
0.500 0.500 0.000
0.000 0.000 0.338
0.000 0.000 0.662
0.000 0.500 0.000
0.000 0.500 0.500
0.500 0.000 0.000
0.500 0.000 0.500
0.500 0.500 0.162
0.500 0.500 0.838
```

Values from the calculation:
ΔE_f (raw): 0.078 eV/atom
ρ: 6.63 Mg/m³

VASP calculation (PBE) on crystalline Dy3YEr2 at its relaxed geometry.

Structure (POSCAR):
```
Dy3YEr2
1.0
10.931 -1.810 0.000
10.931 1.810 0.000
-5.729 0.000 9.616
Dy Y Er
6 2 4
direct
0.055 0.055 0.180
0.278 0.278 0.654
0.388 0.388 0.014
0.612 0.612 0.986
0.722 0.722 0.346
0.945 0.945 0.820
0.390 0.390 0.513
0.610 0.610 0.487
0.056 0.056 0.682
0.278 0.278 0.152
0.722 0.722 0.848
0.944 0.944 0.318
```

Values from the calculation:
formation energy: 0.00 eV/atom
ρ: 7.95 Mg/m³

VASP calculation (PBE) on crystalline Hf4CdNi at its relaxed geometry.

Structure (POSCAR):
```
Hf4CdNi
1.0
3.176 0.000 0.000
0.000 3.176 0.000
0.000 0.000 11.903
Hf Cd Ni
4 1 1
direct
0.000 0.000 0.138
0.000 0.000 0.862
0.500 0.500 0.314
0.500 0.500 0.686
0.000 0.000 0.500
0.500 0.500 0.000
```

Values from the calculation:
formation energy: -0.21 eV/atom
ρ: 12.24 Mg/m³

VASP calculation (PBE) on crystalline Sc3Pb2 at its relaxed geometry.

Structure (POSCAR):
```
Sc3Pb2
1.0
9.610 0.000 0.000
0.000 4.468 0.000
-4.263 0.000 5.665
Sc Pb
6 4
direct
0.000 0.000 0.000
0.199 0.000 0.615
0.301 0.500 0.385
0.500 0.500 0.000
0.699 0.500 0.615
0.801 0.000 0.385
0.079 0.500 0.783
0.421 0.000 0.217
0.579 0.000 0.783
0.921 0.500 0.217
```

Values from the calculation:
formation energy: -0.31 eV/atom
ρ: 7.50 Mg/m³

VASP calculation (PBE) on crystalline Cu3P at its relaxed geometry.

Structure (POSCAR):
```
Cu3P
1.0
2.692 0.000 0.000
-1.346 2.332 0.000
0.000 0.000 23.855
Cu P
9 3
direct
0.000 0.000 0.000
0.000 0.000 0.248
0.000 0.000 0.752
0.333 0.667 0.419
0.333 0.667 0.667
0.333 0.667 0.915
0.667 0.333 0.085
0.667 0.333 0.333
0.667 0.333 0.581
0.000 0.000 0.500
0.333 0.667 0.167
0.667 0.333 0.833
```

Values from the calculation:
formation energy: 0.18 eV/atom
ρ: 7.37 Mg/m³

VASP calculation (PBE) on crystalline Tb3Tm2Hg2 at its relaxed geometry.

Structure (POSCAR):
```
Tb3Tm2Hg2
1.0
2.663 1.538 7.884
-2.663 1.538 7.884
0.000 -3.075 7.884
Tb Tm Hg
3 2 2
direct
0.000 0.000 0.000
0.158 0.158 0.158
0.842 0.842 0.842
0.426 0.426 0.426
0.574 0.574 0.574
0.287 0.287 0.287
0.713 0.713 0.713
```

Values from the calculation:
formation energy: -0.24 eV/atom
ρ: 10.42 Mg/m³

VASP calculation (PBE) on crystalline KZnRu at its relaxed geometry.

Structure (POSCAR):
```
KZnRu
1.0
3.408 0.000 0.000
0.000 3.408 0.000
0.000 0.000 11.995
K Zn Ru
2 2 2
direct
0.000 0.000 0.000
0.500 0.500 0.500
0.000 0.000 0.725
0.500 0.500 0.225
0.000 0.000 0.280
0.500 0.500 0.780
```

Values from the calculation:
formation energy: 0.55 eV/atom
ρ: 4.90 Mg/m³

VASP calculation (PBE) on crystalline La2InGe3Au4 at its relaxed geometry.

Structure (POSCAR):
```
La2InGe3Au4
1.0
4.473 0.000 0.000
0.000 4.473 0.000
0.000 0.000 11.155
La In Ge Au
2 1 3 4
direct
0.000 0.500 0.231
0.500 0.000 0.769
0.000 0.000 0.500
0.000 0.500 0.871
0.500 0.000 0.129
0.500 0.500 0.500
0.000 0.000 0.000
0.000 0.500 0.646
0.500 0.000 0.354
0.500 0.500 0.000
```

Values from the calculation:
formation energy: -0.61 eV/atom
ρ: 10.40 Mg/m³

VASP calculation (PBE) on crystalline Sm3Y2ErAs6 at its relaxed geometry.

Structure (POSCAR):
```
Sm3Y2ErAs6
1.0
9.069 -2.082 0.000
9.069 2.082 0.000
-1.901 0.000 8.101
Sm Y Er As
3 2 1 6
direct
0.000 0.000 0.000
0.333 0.333 0.667
0.667 0.667 0.333
0.333 0.333 0.167
0.667 0.667 0.833
0.000 0.000 0.500
0.165 0.165 0.586
0.168 0.168 0.080
0.499 0.499 0.255
0.501 0.501 0.745
0.832 0.832 0.920
0.835 0.835 0.414
```

Values from the calculation:
formation energy: -1.53 eV/atom
ρ: 6.76 Mg/m³

VASP calculation (PBE) on crystalline LiTiNiAu at its relaxed geometry.

Structure (POSCAR):
```
LiTiNiAu
1.0
6.139 0.000 0.000
0.000 6.139 0.000
0.000 0.000 6.139
Li Ti Ni Au
4 4 4 4
direct
0.000 0.000 0.000
0.000 0.500 0.500
0.500 0.000 0.500
0.500 0.500 0.000
0.000 0.000 0.500
0.000 0.500 0.000
0.500 0.000 0.000
0.500 0.500 0.500
0.250 0.250 0.750
0.250 0.750 0.250
0.750 0.250 0.250
0.750 0.750 0.750
0.250 0.250 0.250
0.250 0.750 0.750
0.750 0.250 0.750
0.750 0.750 0.250
```

Values from the calculation:
formation energy: -0.29 eV/atom
ρ: 8.91 Mg/m³

VASP calculation (PBE) on crystalline Ba2Cu2Te at its relaxed geometry.

Structure (POSCAR):
```
Ba2Cu2Te
1.0
4.127 0.000 0.000
0.000 4.127 0.000
0.000 0.000 18.324
Ba Cu Te
4 4 2
direct
0.000 0.000 0.113
0.000 0.000 0.887
0.500 0.500 0.387
0.500 0.500 0.613
0.000 0.500 0.250
0.000 0.500 0.750
0.500 0.000 0.250
0.500 0.000 0.750
0.000 0.000 0.500
0.500 0.500 0.000
```

Values from the calculation:
ΔE_f (raw): -0.425 eV/atom
ρ: 5.63 Mg/m³

VASP calculation (PBE) on crystalline Sr2CdBi2 at its relaxed geometry.

Structure (POSCAR):
```
Sr2CdBi2
1.0
8.531 0.000 0.000
0.000 8.531 0.000
0.000 0.000 4.854
Sr Cd Bi
4 2 4
direct
0.173 0.327 0.000
0.327 0.827 0.000
0.673 0.173 0.000
0.827 0.673 0.000
0.000 0.000 0.500
0.500 0.500 0.500
0.130 0.630 0.500
0.370 0.130 0.500
0.630 0.870 0.500
0.870 0.370 0.500
```

Values from the calculation:
formation energy: -0.58 eV/atom
ρ: 6.63 Mg/m³

VASP calculation (PBE) on crystalline Tm6TlPd2 at its relaxed geometry.

Structure (POSCAR):
```
Tm6TlPd2
1.0
-4.687 4.841 5.131
4.687 -4.841 5.131
4.687 4.841 -5.131
Tm Tl Pd
12 2 4
direct
0.035 0.237 0.798
0.183 0.290 0.473
0.183 0.710 0.894
0.328 0.029 0.701
0.328 0.627 0.299
0.439 0.237 0.202
0.561 0.763 0.798
0.672 0.373 0.701
0.672 0.971 0.299
0.817 0.290 0.106
0.817 0.710 0.527
0.965 0.763 0.202
0.000 0.000 0.000
0.500 0.500 0.000
0.134 0.634 0.500
0.346 0.000 0.346
0.654 0.000 0.654
0.866 0.366 0.500
```

Values from the calculation:
formation energy: -0.53 eV/atom
ρ: 10.20 Mg/m³

VASP calculation (PBE) on crystalline Hg7Pb3 at its relaxed geometry.

Structure (POSCAR):
```
Hg7Pb3
1.0
5.898 0.000 0.000
-0.605 6.291 0.000
-2.247 -2.150 7.982
Hg Pb
7 3
direct
0.000 0.000 0.000
0.192 0.015 0.394
0.398 0.493 0.805
0.399 0.993 0.799
0.601 0.007 0.201
0.602 0.507 0.195
0.808 0.985 0.606
0.000 0.500 0.000
0.215 0.520 0.405
0.785 0.480 0.595
```

Values from the calculation:
formation energy: 0.03 eV/atom
ρ: 11.36 Mg/m³

VASP calculation (PBE) on crystalline BaNa3Sb at its relaxed geometry.

Structure (POSCAR):
```
BaNa3Sb
1.0
6.252 0.000 0.000
0.000 6.252 0.000
0.000 0.000 6.252
Ba Na Sb
1 3 1
direct
0.000 0.000 0.000
0.000 0.000 0.500
0.000 0.500 0.000
0.500 0.000 0.000
0.500 0.500 0.500
```

Values from the calculation:
ΔE_f (raw): 0.826 eV/atom
ρ: 2.23 Mg/m³

VASP calculation (PBE) on crystalline Zr2AgPb at its relaxed geometry.

Structure (POSCAR):
```
Zr2AgPb
1.0
3.230 0.000 0.000
-1.615 2.797 0.000
0.000 0.000 30.312
Zr Ag Pb
6 3 3
direct
0.000 0.000 0.246
0.000 0.000 0.754
0.333 0.667 0.421
0.333 0.667 0.912
0.667 0.333 0.088
0.667 0.333 0.579
0.000 0.000 0.500
0.333 0.667 0.167
0.667 0.333 0.833
0.000 0.000 0.000
0.333 0.667 0.667
0.667 0.333 0.333
```

Values from the calculation:
formation energy: 0.08 eV/atom
ρ: 9.05 Mg/m³

VASP calculation (PBE) on crystalline BaLaNO2 at its relaxed geometry.

Structure (POSCAR):
```
BaLaNO2
1.0
4.626 0.000 0.000
0.000 4.626 0.000
0.000 0.000 4.471
Ba La N O
1 1 1 2
direct
0.000 0.000 0.000
0.500 0.500 0.500
0.500 0.500 0.000
0.000 0.500 0.500
0.500 0.000 0.500
```

Values from the calculation:
ΔE_f (raw): -1.595 eV/atom
ρ: 5.59 Mg/m³